(1)
A geometry-optimized Hf4IrC structure. Source: Alexandria, functional PBE. Values from VASP.

Cell and atoms, written as Quantum ESPRESSO input:
```
&SYSTEM
  ibrav = 0, nat = 12, ntyp = 3
/
ATOMIC_SPECIES
Hf 178.49 Hf.upf
Ir 192.22 Ir.upf
C 12.01 C.upf
CELL_PARAMETERS angstrom
4.556 0.000 0.000
0.000 8.428 0.000
-0.004 0.000 6.205
ATOMIC_POSITIONS angstrom
Hf 1.138 0.364 1.197
Hf 1.138 2.107 4.622
Hf 1.138 3.850 1.197
Hf 1.135 6.321 3.711
Hf 3.417 2.107 2.494
Hf 3.414 4.578 5.008
Hf 3.414 6.321 1.582
Hf 3.414 8.064 5.008
Ir 1.135 6.321 0.187
Ir 3.417 2.107 6.018
C 1.141 2.107 2.501
C 3.411 6.321 3.704
```

Summary:
The spin magnetization comes out at 0.000 μB per atom. As for the formation energy: -286 meV per atom. As for the final energy: -119.2 eV per cell.

(2)
A geometry-optimized Hf6Ir3C structure. Source: Alexandria, functional PBE. Values from VASP.

Cell and atoms, written as Quantum ESPRESSO input:
```
&SYSTEM
  ibrav = 0, nat = 20, ntyp = 3
/
ATOMIC_SPECIES
Hf 178.49 Hf.upf
Ir 192.22 Ir.upf
C 12.01 C.upf
CELL_PARAMETERS angstrom
5.889 0.000 0.000
0.000 7.085 0.000
-5.177 0.000 8.972
ATOMIC_POSITIONS angstrom
Hf -0.753 0.399 2.124
Hf -3.342 3.144 6.610
Hf 0.882 5.033 0.622
Hf -1.707 5.595 5.108
Hf 1.941 1.083 0.466
Hf -0.648 2.460 4.952
Hf 1.359 4.625 4.020
Hf -1.229 6.003 8.506
Hf 2.418 1.490 3.864
Hf -0.170 2.053 8.350
Hf 4.053 3.941 2.361
Hf 1.465 6.687 6.847
Ir -1.992 0.730 6.617
Ir 0.597 2.813 2.131
Ir 0.356 0.000 4.486
Ir 2.945 3.543 0.000
Ir 0.115 4.272 6.840
Ir 2.703 6.356 2.355
C 0.000 0.000 0.000
C -2.589 3.543 4.486
```

Summary:
The spin magnetization comes out at 0.000 μB per atom. As for the formation energy: -663 meV per atom. As for the final energy: -204.3 eV per cell.

(3)
A geometry-optimized HfIrC3 structure. Source: Alexandria, functional PBE. Values from VASP.

Cell and atoms, written as Quantum ESPRESSO input:
```
&SYSTEM
  ibrav = 0, nat = 5, ntyp = 3
/
ATOMIC_SPECIES
Hf 178.49 Hf.upf
Ir 192.22 Ir.upf
C 12.01 C.upf
CELL_PARAMETERS angstrom
4.170 0.000 0.000
0.000 4.170 0.000
0.000 0.000 4.170
ATOMIC_POSITIONS angstrom
Hf 0.000 0.000 0.000
Ir 2.085 2.085 2.085
C 0.000 0.000 2.085
C 0.000 2.085 0.000
C 2.085 0.000 0.000
```

Summary:
The spin magnetization comes out at 0.000 μB per atom. The value obtained for the distance to the lowest polymorph of the same formula is 0.9647 eV/atom. As for the formation energy: 2589 meV per atom. As for the final energy: -33.5 eV per cell.

(4)
A geometry-optimized HfIrC2 structure. Source: Alexandria, functional PBE. Values from VASP.

Cell and atoms, written as Quantum ESPRESSO input:
```
&SYSTEM
  ibrav = 0, nat = 8, ntyp = 3
/
ATOMIC_SPECIES
Hf 178.49 Hf.upf
Ir 192.22 Ir.upf
C 12.01 C.upf
CELL_PARAMETERS angstrom
-2.326 2.326 5.153
2.326 -2.326 5.153
2.326 2.326 -5.153
ATOMIC_POSITIONS angstrom
Hf 0.000 0.000 0.000
Hf 0.000 2.326 2.576
Ir 2.326 0.000 2.576
Ir 0.000 0.000 5.153
C 1.163 -0.974 3.864
C 1.352 1.163 1.288
C 1.163 3.300 -1.288
C 0.974 1.163 6.441
```

Summary:
The spin magnetization comes out at 0.000 μB per atom. The value obtained for the distance to the lowest polymorph of the same formula is 0.0000 eV/atom. As for the formation energy: 221 meV per atom. As for the final energy: -72.8 eV per cell.